Below is an optimized crystal structure of Tm2Cu3Ni2, with properties calculated at the PBE level.

abc: 9.3110 9.3110 3.4335
angles: 90.00 90.00 157.45
Positions (direct):
Tm: 0.1553 0.8447 0.0000
Tm: 0.8447 0.1553 0.0000
Cu: 0.0000 0.0000 0.0000
Cu: 0.4345 0.5655 0.5000
Cu: 0.5655 0.4345 0.5000
Ni: 0.2919 0.7081 0.5000
Ni: 0.7081 0.2919 0.5000

Properties
E_form: -233.8 meV/atom
Crystal system: orthorhombic
Energy above the most stable polymorph in this dataset: 0.071 eV/atom
Magnetization: 0.00 μB per formula unit
Density of states at the Fermi level: 2.82 states/eV per cell